This record from the Alexandria database describes a geometry-optimized ReMo2Ru structure. The functional is PBE-GGA.

It has space group Pm (No. 6), with a = 2.725 Å, b = 4.406 Å, c = 5.120 Å, α = 90.00°, β = 97.02° and γ = 90.00°. The distinct sites, in fractional coordinates, are Re at (0.000, 0.000, 0.000), Mo at (0.213, 0.500, 0.734), Mo at (0.513, 0.000, 0.496) and Ru at (0.590, 0.500, 0.227).

The calculated volume is 15.3 A^3/atom. The calculation puts the total energy at -0.7872 Ry/atom. As for the energy above the most stable polymorph in this dataset: 24 meV per atom.

***

This record from the Alexandria database describes a geometry-optimized Ce2Sm3DyP6 structure. The functional is PBE-GGA.

It has space group C2/m (No. 12), with a = 7.065 Å, b = 12.237 Å, c = 7.070 Å, α = 90.00°, β = 109.46° and γ = 90.00°. The distinct sites, in fractional coordinates, are Ce at (0.000, 0.167, 0.000), Sm at (0.000, 0.000, 0.500), Sm at (0.000, 0.333, 0.500), Dy at (0.000, 0.500, 0.000), P at (0.248, 0.333, 0.244) and P at (0.249, 0.000, 0.245).

The calculated volume is 24.0 A^3/atom. The calculation puts the total energy at -0.5013 Ry/atom.